# KLaPt2

KLaPt2 after structural relaxation (PBE-GGA, Alexandria).

The space group is F-43m (No. 216) and the conventional cell measures 7.0898, 7.0898 and 7.0898 Å, with angles of 90.00, 90.00 and 90.00 degrees. The asymmetric unit holds K at (0.0000, 0.0000, 0.0000), La at (0.2500, 0.2500, 0.7500), Pt at (0.0000, 0.0000, 0.5000) and Pt at (0.2500, 0.2500, 0.2500).

The volume comes out at 356.38 Å³/cell. Its energy relative to the elements is -0.293 eV/atom.

# Sr2Cu3As4Pd

Sr2Cu3As4Pd after structural relaxation (PBE-GGA, Alexandria).

The space group is P-4m2 (No. 115) and the conventional cell measures 4.3886, 4.3886 and 10.0936 Å, with angles of 90.00, 90.00 and 90.00 degrees. The asymmetric unit holds Sr at (0.0000, 0.5000, 0.2505), Cu at (0.0000, 0.0000, 0.0000), Cu at (0.0000, 0.5000, 0.6238), As at (0.0000, 0.0000, 0.5000), As at (0.0000, 0.5000, 0.8668), As at (0.5000, 0.5000, 0.5000) and Pd at (0.5000, 0.5000, 0.0000).

The volume comes out at 194.40 Å³/cell. Its energy relative to the elements is -0.582 eV/atom.

# RbRe

RbRe after structural relaxation (PBE-GGA, Alexandria).

The space group is I4/m (No. 87) and the conventional cell measures 15.2076, 15.2076 and 3.4735 Å, with angles of 90.00, 90.00 and 90.00 degrees. The asymmetric unit holds Rb at (0.0356, 0.7445, 0.0000) and Re at (0.2011, 0.2564, 0.0000).

The volume comes out at 803.31 Å³/cell. Its energy relative to the elements is 1.410 eV/atom. Its polymorph energy (0 for the lowest one) is 693 meV per atom.

# Cs2Rb4Br

Cs2Rb4Br after structural relaxation (PBE-GGA, Alexandria).

The space group is I4/mmm (No. 139) and the conventional cell measures 6.8808, 6.8808 and 26.6453 Å, with angles of 90.00, 90.00 and 90.00 degrees. The asymmetric unit holds Cs at (0.0000, 0.0000, 0.1823), Rb at (0.0000, 0.0000, 0.3688), Rb at (0.0000, 0.5000, 0.0000) and Br at (0.0000, 0.0000, 0.5000).

The volume comes out at 1261.52 Å³/cell. The value obtained for the uncorrected formation energy is -41 kJ/mol of atoms.

# La12Y5Ho

La12Y5Ho after structural relaxation (PBE-GGA, Alexandria).

The space group is Cmmm (No. 65) and the conventional cell measures 11.5933, 18.2319 and 6.0648 Å, with angles of 90.00, 90.00 and 90.00 degrees. The asymmetric unit holds La at (0.1562, 0.0000, 0.0000), La at (0.1575, 0.1650, 0.5000), La at (0.1583, 0.3342, 0.0000), La at (0.1576, 0.5000, 0.5000), Y at (0.0000, 0.1680, 0.0000), Y at (0.0000, 0.3323, 0.5000), Y at (0.0000, 0.5000, 0.0000) and Ho at (0.0000, 0.0000, 0.5000).

The volume comes out at 1281.91 Å³/cell. Its energy relative to the elements is 0.094 eV/atom.

# Ta2CoHg

Ta2CoHg after structural relaxation (PBE-GGA, Alexandria).

The space group is Imm2 (No. 44) and the conventional cell measures 3.0126, 4.8065 and 9.3971 Å, with angles of 90.00, 90.00 and 90.00 degrees. The asymmetric unit holds Ta at (0.0000, 0.0000, 0.0000), Ta at (0.0000, 0.5000, 0.2367), Co at (0.0000, 0.5000, 0.7127) and Hg at (0.0000, 0.0000, 0.4509).

The volume comes out at 136.07 Å³/cell. Its energy relative to the elements is 0.279 eV/atom.

# NdSm2Cu9

NdSm2Cu9 after structural relaxation (PBE-GGA, Alexandria).

The space group is R-3m (No. 166, hexagonal axes) and the conventional cell measures 5.2425, 5.2425 and 25.1094 Å, with angles of 90.00, 90.00 and 120.00 degrees. The asymmetric unit holds Nd at (0.0000, 0.0000, 0.0000), Sm at (0.0000, 0.0000, 0.1434), Cu at (0.0000, 0.0000, 0.3317), Cu at (0.0000, 0.0000, 0.5000) and Cu at (0.0036, 0.5018, 0.0814).

The volume comes out at 597.65 Å³/cell. Its energy relative to the elements is -0.157 eV/atom.

# Li2YFe

Li2YFe after structural relaxation (PBE-GGA, Alexandria).

The space group is R-3m (No. 166, hexagonal axes) and the conventional cell measures 3.0851, 3.0851 and 29.3788 Å, with angles of 90.00, 90.00 and 120.00 degrees. The asymmetric unit holds Li at (0.0000, 0.0000, 0.2374), Y at (0.0000, 0.0000, 0.0000) and Fe at (0.0000, 0.0000, 0.5000).

The volume comes out at 242.16 Å³/cell. Its energy relative to the elements is 0.503 eV/atom. Its polymorph energy (0 for the lowest one) is 267 meV per atom.

# CaB2Ir

CaB2Ir after structural relaxation (PBE-GGA, Alexandria).

The space group is Fm-3m (No. 225) and the conventional cell measures 5.7887, 5.7887 and 5.7887 Å, with angles of 90.00, 90.00 and 90.00 degrees. The asymmetric unit holds Ca at (0.0000, 0.0000, 0.0000), B at (0.2500, 0.2500, 0.2500) and Ir at (0.0000, 0.0000, 0.5000).

The volume comes out at 193.98 Å³/cell. Its energy relative to the elements is 0.463 eV/atom. Its polymorph energy (0 for the lowest one) is 730 meV per atom.

# TlAg2Au

TlAg2Au after structural relaxation (PBE-GGA, Alexandria).

The space group is R3m (No. 160, hexagonal axes) and the conventional cell measures 3.3140, 3.3140 and 26.7728 Å, with angles of 90.00, 90.00 and 120.00 degrees. The asymmetric unit holds Tl at (0.0000, 0.0000, 0.0000), Ag at (0.0000, 0.0000, 0.5026), Ag at (0.0000, 0.0000, 0.7573) and Au at (0.0000, 0.0000, 0.2472).

The volume comes out at 254.65 Å³/cell. Its energy relative to the elements is 0.154 eV/atom. Its polymorph energy (0 for the lowest one) is 97 meV per atom.

# Ti3NbAl2

Ti3NbAl2 after structural relaxation (PBE-GGA, Alexandria).

The space group is Immm (No. 71) and the conventional cell measures 2.7739, 4.9419 and 15.4840 Å, with angles of 90.00, 90.00 and 90.00 degrees. The asymmetric unit holds Ti at (0.0000, 0.0000, 0.0000), Ti at (0.0000, 0.5000, 0.1764), Nb at (0.0000, 0.5000, 0.0000) and Al at (0.0000, 0.5000, 0.3489).

The volume comes out at 212.26 Å³/cell. Its energy relative to the elements is 0.208 eV/atom. Its polymorph energy (0 for the lowest one) is 538 meV per atom.

# La3AlTe

La3AlTe after structural relaxation (PBE-GGA, Alexandria).

The space group is Pm-3m (No. 221) and the conventional cell measures 5.7273, 5.7273 and 5.7273 Å, with angles of 90.00, 90.00 and 90.00 degrees. The asymmetric unit holds La at (0.0000, 0.0000, 0.5000), Al at (0.0000, 0.0000, 0.0000) and Te at (0.5000, 0.5000, 0.5000).

The volume comes out at 187.86 Å³/cell. The value obtained for the uncorrected formation energy is -19 kJ/mol of atoms. Its polymorph energy (0 for the lowest one) is 0 meV per atom.